Entry 1:
ErScGa2, optimized geometry, DFT PBE-GGA; total energy = -18.61 eV per formula unit; formation energy from the elements = -0.41 eV/atom; space group = R-3m, No. 166; relative energy among the computed polymorphs = 189 meV/atom; N(E_F) = 2.0 states/eV/cell; magnetic moment = 0.00 μB per formula unit
1.0
3.4859 0.0000 0.0000
1.7429 3.0188 0.0000
1.7429 1.0063 8.5441
Sc Ga Er
1 2 1
direct
0.0000 0.0000 0.0000
0.7466 0.7466 0.7603
0.2534 0.2534 0.2397
0.5000 0.5000 0.5000

Entry 2:
In2OsPt, optimized geometry, DFT PBE-GGA; total energy = -21.04 eV per formula unit; formation energy from the elements = 0.43 eV/atom; space group = F-43m, No. 216; N(E_F) = 3.2 states/eV/cell; magnetic moment = 0.00 μB per formula unit
1.0
4.6661 0.0000 0.0000
2.3331 4.0410 0.0000
2.3331 1.3470 3.8099
In Os Pt
2 1 1
direct
0.0000 0.0000 0.0000
0.2500 0.2500 0.2500
0.5000 0.5000 0.5000
0.7500 0.7500 0.7500

Entry 3:
Na4Hg5Bi3, optimized geometry, DFT PBE-GGA; total energy = -19.93 eV per formula unit; formation energy from the elements = -0.13 eV/atom; space group = C2/m, No. 12; N(E_F) = 4.7 states/eV/cell; magnetic moment = 0.00 μB per formula unit
1.0
-0.7494 -4.0633 -4.1933
3.6153 -6.5500 1.5686
-5.7437 -7.2819 3.9503
Na Hg Bi
4 5 3
direct
0.9295 0.2838 0.8572
0.2752 0.6946 0.7550
0.7248 0.3054 0.2450
0.0705 0.7162 0.1428
0.5225 0.1449 0.8100
0.5000 0.5000 0.5000
0.3073 0.3291 0.0563
0.6927 0.6709 0.9437
0.4775 0.8551 0.1900
0.2447 0.0847 0.4259
0.0000 0.5000 0.5000
0.7553 0.9153 0.5741

Entry 4:
SrLiRe2, optimized geometry, DFT PBE-GGA; total energy = -25.04 eV per formula unit; formation energy from the elements = 0.86 eV/atom; space group = Cmmm, No. 65; relative energy among the computed polymorphs = 422 meV/atom; N(E_F) = 1.7 states/eV/cell; magnetic moment = 0.00 μB per formula unit
1.0
5.8136 0.0016 0.0000
-3.4120 4.7070 0.0000
0.0000 0.0000 2.6716
Li Re Sr
1 2 1
direct
0.0000 0.5000 0.5000
0.0000 0.0000 0.0000
0.5000 0.5000 0.0000
0.5000 0.0000 0.5000

Entry 5:
HfSnOs3, optimized geometry, DFT PBE-GGA; total energy = -37.89 eV per formula unit; formation energy from the elements = 1.95 eV/atom; space group = Pm-3m, No. 221; relative energy among the computed polymorphs = 0 meV/atom; N(E_F) = 3.3 states/eV/cell; magnetic moment = 0.00 μB per formula unit
1.0
4.7464 0.0000 0.0000
0.0000 4.7464 0.0000
0.0000 0.0000 4.7464
Hf Os Sn
1 3 1
direct
0.5000 0.5000 0.5000
0.0000 0.5000 0.0000
0.0000 0.0000 0.5000
0.5000 0.0000 0.0000
0.0000 0.0000 0.0000

Entry 6:
AcPr2Dy4Tm, optimized geometry, DFT PBE-GGA; total energy = -33.20 eV per formula unit; formation energy from the elements = 0.42 eV/atom; space group = Imma, No. 74; N(E_F) = 37.0 states/eV/cell; magnetic moment = 0.58 μB per formula unit
1.0
9.5053 -0.0139 -1.7175
-0.0206 9.5051 -1.7175
-6.0623 -6.0664 8.3870
Ac Pr Dy Tm
2 4 8 2
direct
0.0000 0.5000 0.0000
0.0000 0.5000 0.5000
0.5000 0.0000 0.0000
0.5000 0.0000 0.5000
0.0000 0.0000 0.5000
0.5000 0.5000 0.0000
0.2538 0.7700 0.0119
0.7300 0.2462 0.4881
0.2700 0.7538 0.5119
0.7462 0.2300 0.9881
0.7415 0.7575 0.9916
0.7425 0.7585 0.5084
0.2575 0.2416 0.4916
0.2585 0.2425 0.0084
0.5000 0.5000 0.5000
0.0000 0.0000 0.0000